# 1
A plane-wave DFT calculation with meta-GGA SCAN was carried out for RbTlSn2O at its PBEsol-relaxed geometry.

The structure in CIF format:
```
data_RbTlSn2O
_chemical_formula_sum 'Rb1 Tl1 Sn2 O1'
_space_group_name_H-M_alt 'P 1'
_space_group_IT_number 1
_cell_length_a 5.529
_cell_length_b 5.529
_cell_length_c 7.411
_cell_angle_alpha 90.00
_cell_angle_beta 90.00
_cell_angle_gamma 90.00
loop_
_space_group_symop_operation_xyz
'x,y,z'
loop_
_atom_site_label
_atom_site_type_symbol
_atom_site_fract_x
_atom_site_fract_y
_atom_site_fract_z
_atom_site_occupancy
Sn1 Sn 0.000 0.500 0.000 1
Sn2 Sn 0.500 0.000 0.000 1
Tl1 Tl 0.000 0.000 0.000 1
O1 O 0.500 0.500 0.500 1
Rb1 Rb 0.000 0.000 0.500 1
```


# 2
A plane-wave DFT calculation with meta-GGA SCAN was carried out for Ba4SrOs at its PBEsol-relaxed geometry.

The structure in CIF format:
```
data_Ba4SrOs
_chemical_formula_sum 'Ba4 Sr1 Os1'
_space_group_name_H-M_alt 'P 1'
_space_group_IT_number 1
_cell_length_a 6.857
_cell_length_b 6.857
_cell_length_c 6.857
_cell_angle_alpha 60.00
_cell_angle_beta 60.00
_cell_angle_gamma 60.00
loop_
_space_group_symop_operation_xyz
'x,y,z'
loop_
_atom_site_label
_atom_site_type_symbol
_atom_site_fract_x
_atom_site_fract_y
_atom_site_fract_z
_atom_site_occupancy
Ba1 Ba 0.377 0.377 0.377 1
Ba2 Ba 0.377 0.868 0.377 1
Ba3 Ba 0.377 0.377 0.868 1
Ba4 Ba 0.868 0.377 0.377 1
Os1 Os 0.750 0.750 0.750 1
Sr1 Sr 0.000 0.000 0.000 1
```

## Properties
- energy of formation from the pure elements (eV/atom) = 1.2161


# 3
A plane-wave DFT calculation with meta-GGA SCAN was carried out for Re3TcBi at its PBEsol-relaxed geometry.

The structure in CIF format:
```
data_Re3TcBi
_chemical_formula_sum 'Re3 Tc1 Bi1'
_space_group_name_H-M_alt 'P 1'
_space_group_IT_number 1
_cell_length_a 4.838
_cell_length_b 4.838
_cell_length_c 4.838
_cell_angle_alpha 90.00
_cell_angle_beta 90.00
_cell_angle_gamma 90.00
loop_
_space_group_symop_operation_xyz
'x,y,z'
loop_
_atom_site_label
_atom_site_type_symbol
_atom_site_fract_x
_atom_site_fract_y
_atom_site_fract_z
_atom_site_occupancy
Bi1 Bi 0.000 0.000 0.000 1
Re1 Re 0.000 0.500 0.000 1
Re2 Re 0.500 0.000 0.000 1
Re3 Re 0.000 0.000 0.500 1
Tc1 Tc 0.500 0.500 0.500 1
```

## Properties
- energy of formation from the pure elements (eV/atom) = 3.5712


# 4
A plane-wave DFT calculation with meta-GGA SCAN was carried out for RbNa2Bi2 at its PBEsol-relaxed geometry.

The structure in CIF format:
```
data_RbNa2Bi2
_chemical_formula_sum 'Rb2 Na4 Bi4'
_space_group_name_H-M_alt 'P 1'
_space_group_IT_number 1
_cell_length_a 3.399
_cell_length_b 9.869
_cell_length_c 9.869
_cell_angle_alpha 90.00
_cell_angle_beta 90.00
_cell_angle_gamma 90.00
loop_
_space_group_symop_operation_xyz
'x,y,z'
loop_
_atom_site_label
_atom_site_type_symbol
_atom_site_fract_x
_atom_site_fract_y
_atom_site_fract_z
_atom_site_occupancy
Na1 Na 0.500 0.871 0.371 1
Na2 Na 0.500 0.129 0.629 1
Na3 Na 0.500 0.371 0.129 1
Na4 Na 0.500 0.629 0.871 1
Bi1 Bi 0.000 0.662 0.162 1
Bi2 Bi 0.000 0.338 0.838 1
Bi3 Bi 0.000 0.838 0.662 1
Bi4 Bi 0.000 0.162 0.338 1
Rb1 Rb 0.000 0.000 0.000 1
Rb2 Rb 0.000 0.500 0.500 1
```

## Properties
- energy of formation from the pure elements (eV/atom) = -0.3402
- energy above the lowest structure with this stoichiometry (meV per atom) = 14.2


# 5
A plane-wave DFT calculation with meta-GGA SCAN was carried out for NaPt2C at its PBEsol-relaxed geometry.

The structure in CIF format:
```
data_NaPt2C
_chemical_formula_sum 'Na1 Pt2 C1'
_space_group_name_H-M_alt 'P 1'
_space_group_IT_number 1
_cell_length_a 4.200
_cell_length_b 4.200
_cell_length_c 4.200
_cell_angle_alpha 60.00
_cell_angle_beta 60.00
_cell_angle_gamma 60.00
loop_
_space_group_symop_operation_xyz
'x,y,z'
loop_
_atom_site_label
_atom_site_type_symbol
_atom_site_fract_x
_atom_site_fract_y
_atom_site_fract_z
_atom_site_occupancy
Na1 Na 0.500 0.500 0.500 1
Pt1 Pt 0.250 0.250 0.250 1
Pt2 Pt 0.750 0.750 0.750 1
C1 C 0.000 0.000 0.000 1
```

## Properties
- energy of formation from the pure elements (eV/atom) = 1.3874
- energy above the lowest structure with this stoichiometry (meV per atom) = 1172.2


# 6
A plane-wave DFT calculation with meta-GGA SCAN was carried out for Co2PtW at its PBEsol-relaxed geometry.

The structure in CIF format:
```
data_Co2PtW
_chemical_formula_sum 'Co2 Pt1 W1'
_space_group_name_H-M_alt 'P 1'
_space_group_IT_number 1
_cell_length_a 3.517
_cell_length_b 3.769
_cell_length_c 3.769
_cell_angle_alpha 90.00
_cell_angle_beta 90.00
_cell_angle_gamma 90.00
loop_
_space_group_symop_operation_xyz
'x,y,z'
loop_
_atom_site_label
_atom_site_type_symbol
_atom_site_fract_x
_atom_site_fract_y
_atom_site_fract_z
_atom_site_occupancy
Co1 Co 0.000 0.500 0.000 1
Co2 Co 0.000 0.000 0.500 1
Pt1 Pt 0.500 0.500 0.500 1
W1 W 0.500 0.000 0.000 1
```

## Properties
- energy of formation from the pure elements (eV/atom) = -0.0028
- energy above the lowest structure with this stoichiometry (meV per atom) = 115.8


# 7
A plane-wave DFT calculation with meta-GGA SCAN was carried out for HfNb2CrBi at its PBEsol-relaxed geometry.

The structure in CIF format:
```
data_HfNb2CrBi
_chemical_formula_sum 'Hf1 Nb2 Cr1 Bi1'
_space_group_name_H-M_alt 'P 1'
_space_group_IT_number 1
_cell_length_a 4.650
_cell_length_b 4.932
_cell_length_c 4.932
_cell_angle_alpha 90.00
_cell_angle_beta 90.00
_cell_angle_gamma 90.00
loop_
_space_group_symop_operation_xyz
'x,y,z'
loop_
_atom_site_label
_atom_site_type_symbol
_atom_site_fract_x
_atom_site_fract_y
_atom_site_fract_z
_atom_site_occupancy
Nb1 Nb 0.000 0.000 0.500 1
Nb2 Nb 0.000 0.500 0.000 1
Hf1 Hf 0.000 0.000 0.000 1
Bi1 Bi 0.500 0.500 0.500 1
Cr1 Cr 0.500 0.000 0.000 1
```

## Properties
- energy of formation from the pure elements (eV/atom) = 1.3415


# 8
A plane-wave DFT calculation with meta-GGA SCAN was carried out for La2PdSF at its PBEsol-relaxed geometry.

The structure in CIF format:
```
data_La2PdSF
_chemical_formula_sum 'La2 Pd1 S1 F1'
_space_group_name_H-M_alt 'P 1'
_space_group_IT_number 1
_cell_length_a 4.560
_cell_length_b 5.444
_cell_length_c 5.444
_cell_angle_alpha 90.00
_cell_angle_beta 90.00
_cell_angle_gamma 90.00
loop_
_space_group_symop_operation_xyz
'x,y,z'
loop_
_atom_site_label
_atom_site_type_symbol
_atom_site_fract_x
_atom_site_fract_y
_atom_site_fract_z
_atom_site_occupancy
La1 La 0.000 0.500 0.000 1
La2 La 0.000 0.000 0.500 1
S1 S 0.500 0.000 0.000 1
Pd1 Pd 0.000 0.000 0.000 1
F1 F 0.500 0.500 0.500 1
```


# 9
A plane-wave DFT calculation with meta-GGA SCAN was carried out for LiCr2Ru at its PBEsol-relaxed geometry.

The structure in CIF format:
```
data_LiCr2Ru
_chemical_formula_sum 'Li1 Cr2 Ru1'
_space_group_name_H-M_alt 'P 1'
_space_group_IT_number 1
_cell_length_a 2.576
_cell_length_b 2.576
_cell_length_c 9.040
_cell_angle_alpha 81.81
_cell_angle_beta 81.81
_cell_angle_gamma 60.00
loop_
_space_group_symop_operation_xyz
'x,y,z'
loop_
_atom_site_label
_atom_site_type_symbol
_atom_site_fract_x
_atom_site_fract_y
_atom_site_fract_z
_atom_site_occupancy
Li1 Li 0.000 0.000 0.000 1
Cr1 Cr 0.245 0.245 0.266 1
Cr2 Cr 0.755 0.755 0.734 1
Ru1 Ru 0.500 0.500 0.500 1
```

## Properties
- energy of formation from the pure elements (eV/atom) = 0.4385


# 10
A plane-wave DFT calculation with meta-GGA SCAN was carried out for CaAsSe2 at its PBEsol-relaxed geometry.

The structure in CIF format:
```
data_CaAsSe2
_chemical_formula_sum 'Ca1 As1 Se2'
_space_group_name_H-M_alt 'P 1'
_space_group_IT_number 1
_cell_length_a 3.922
_cell_length_b 3.922
_cell_length_c 8.785
_cell_angle_alpha 77.10
_cell_angle_beta 77.10
_cell_angle_gamma 60.00
loop_
_space_group_symop_operation_xyz
'x,y,z'
loop_
_atom_site_label
_atom_site_type_symbol
_atom_site_fract_x
_atom_site_fract_y
_atom_site_fract_z
_atom_site_occupancy
Ca1 Ca 0.000 0.000 0.000 1
Se1 Se 0.110 0.110 0.671 1
Se2 Se 0.890 0.890 0.329 1
As1 As 0.500 0.500 0.500 1
```


# 11
A plane-wave DFT calculation with meta-GGA SCAN was carried out for PIr2Os at its PBEsol-relaxed geometry.

The structure in CIF format:
```
data_PIr2Os
_chemical_formula_sum 'P1 Ir2 Os1'
_space_group_name_H-M_alt 'P 1'
_space_group_IT_number 1
_cell_length_a 2.812
_cell_length_b 3.909
_cell_length_c 5.160
_cell_angle_alpha 90.00
_cell_angle_beta 105.02
_cell_angle_gamma 90.00
loop_
_space_group_symop_operation_xyz
'x,y,z'
loop_
_atom_site_label
_atom_site_type_symbol
_atom_site_fract_x
_atom_site_fract_y
_atom_site_fract_z
_atom_site_occupancy
Ir1 Ir 0.136 0.000 0.260 1
Ir2 Ir 0.864 0.000 0.740 1
Os1 Os 0.500 0.500 0.000 1
P1 P 0.500 0.500 0.500 1
```

## Properties
- energy of formation from the pure elements (eV/atom) = 0.1653


# 12
A plane-wave DFT calculation with meta-GGA SCAN was carried out for LaZnCu2 at its PBEsol-relaxed geometry.

The structure in CIF format:
```
data_LaZnCu2
_chemical_formula_sum 'La1 Zn1 Cu2'
_space_group_name_H-M_alt 'P 1'
_space_group_IT_number 1
_cell_length_a 3.141
_cell_length_b 3.141
_cell_length_c 6.867
_cell_angle_alpha 90.00
_cell_angle_beta 90.00
_cell_angle_gamma 90.00
loop_
_space_group_symop_operation_xyz
'x,y,z'
loop_
_atom_site_label
_atom_site_type_symbol
_atom_site_fract_x
_atom_site_fract_y
_atom_site_fract_z
_atom_site_occupancy
La1 La 0.500 0.500 0.000 1
Zn1 Zn 0.500 0.500 0.500 1
Cu1 Cu 0.000 0.000 0.684 1
Cu2 Cu 0.000 0.000 0.316 1
```

## Properties
- energy of formation from the pure elements (eV/atom) = -0.0359


no.,final energy (eV for the cell shown),volume (Å³/f.u.),N(E_F) (states/eV/cell)
1,-168.170,226.60,6.1
2,-245.060,228.02,6.7
3,-309.076,113.25,3.7
4,-376.059,165.50,3.7
5,-149.151,52.37,2.7
6,-174.501,49.96,3.6
7,-219.189,113.11,3.7
8,-137.530,135.13,2.9
9,-72.231,51.22,2.5
10,-71.546,113.05,1.0
11,-223.816,54.79,2.8
12,-87.163,67.76,2.0